Here is an optimized crystal structure of HfNbAlFe from the Open Quantum Materials Database. Energies are from PBE.

The structure in CIF format:
```
data_HfNbAlFe
_cell_length_a 4.5005
_cell_length_b 4.5005
_cell_length_c 4.5005
_cell_angle_alpha 60.00
_cell_angle_beta 60.00
_cell_angle_gamma 60.00
_space_group_name_H-M_alt 'P 1'
_space_group_IT_number 1
loop_
_space_group_symop_operation_xyz
'x,y,z'
loop_
_atom_site_label
_atom_site_type_symbol
_atom_site_fract_x
_atom_site_fract_y
_atom_site_fract_z
_atom_site_occupancy
Hf1 Hf 0.0000 0.0000 0.0000 1
Nb1 Nb 0.2500 0.2500 0.2500 1
Al1 Al 0.5000 0.5000 0.5000 1
Fe1 Fe 0.7500 0.7500 0.7500 1
```

Computed properties:
Space-group type: No. 216
Total energy, eV per atom: -8.01
Distance to the lowest polymorph of the same formula, meV/atom: 0.0